Entry 1:
# PBE Mg2H2Ru, optimized geometry
# Raw total energy = -37.8 eV per cell
# N(E_F) = 0.137 states/eV per atom
# Total magnetization = 0.00 μB per cell
data_Mg2H2Ru
_chemical_formula_sum 'Mg4 H4 Ru2'
_symmetry_space_group_name_H-M 'P 4/m b m'
_symmetry_Int_Tables_number 127
_symmetry_space_group_name_Hall '-P 4 2ab'
_cell_length_a 5.823
_cell_length_b 5.823
_cell_length_c 3.393
_cell_angle_alpha 90.00
_cell_angle_beta 90.00
_cell_angle_gamma 90.00
loop_
_atom_site_label
_atom_site_type_symbol
_atom_site_fract_x
_atom_site_fract_y
_atom_site_fract_z
_atom_site_occupancy
Mg1 Mg 0.187 0.313 0.000 1
H1 H 0.183 0.683 0.500 1
Ru1 Ru 0.000 0.000 0.500 1

Entry 2:
# PBE Ac3HoSi6, optimized geometry
# Raw total energy = -325.1 eV per cell
# E_form (uncorrected) = -4.74 eV per formula unit
# N(E_F) = 0.628 states/eV per atom
# Total magnetization = 0.00 μB per cell
data_Ac3HoSi6
_chemical_formula_sum 'Ac18 Ho6 Si36'
_symmetry_space_group_name_H-M 'R -3 c'
_symmetry_Int_Tables_number 167
_symmetry_space_group_name_Hall '-R 3 2"c'
_cell_length_a 12.1415
_cell_length_b 12.1415
_cell_length_c 11.7209
_cell_angle_alpha 90.00
_cell_angle_beta 90.00
_cell_angle_gamma 120.00
loop_
_atom_site_label
_atom_site_type_symbol
_atom_site_fract_x
_atom_site_fract_y
_atom_site_fract_z
_atom_site_occupancy
Ac1 Ac 0.0000 0.4379 0.2500 1
Ho1 Ho 0.0000 0.0000 0.0000 1
Si1 Si 0.0741 0.2222 0.3325 1

> raw total energy of number 2 (Ac3HoSi6)?

-325.1 eV per cell

> What is the formula in the first record?

Mg2H2Ru